No. 1
First-principles (PBE) data for a relaxed DyFe3Si2 crystal, as listed in the Alexandria database.

a b c (Å): 3.777 8.886 8.886
angles (deg): 120.00 90.00 90.00
Atoms (fractional coordinates):
Dy1 0.500 0.000 0.000
Dy2 0.000 0.667 0.333
Dy3 0.000 0.333 0.667
Fe1 0.500 0.500 0.500
Fe2 0.500 0.000 0.500
Fe3 0.500 0.500 0.000
Fe4 0.000 0.703 0.703
Fe5 0.000 0.000 0.297
Fe6 0.000 0.297 0.000
Fe7 0.000 0.297 0.297
Fe8 0.000 0.000 0.703
Fe9 0.000 0.703 0.000
Si1 0.500 0.808 0.192
Si2 0.500 0.384 0.192
Si3 0.500 0.808 0.616
Si4 0.500 0.192 0.808
Si5 0.500 0.616 0.808
Si6 0.500 0.192 0.384

The uncorrected formation energy comes out at -0.513 eV/atom. The calculated total energy comes out at -7.319 eV/atom. Its space-group type is No. 191. The magnetization comes out at 5.39 μB per formula unit.

No. 2
First-principles (PBE) data for a relaxed Tb6Te3As2P crystal, as listed in the Alexandria database.

a b c (Å): 4.189 8.586 9.568
angles (deg): 104.99 102.64 90.00
Atoms (fractional coordinates):
Tb1 0.345 0.904 0.690
Tb2 0.673 0.565 0.346
Tb3 0.655 0.096 0.310
Tb4 0.006 0.224 0.011
Tb5 0.994 0.776 0.989
Tb6 0.327 0.435 0.654
Te1 0.500 0.500 0.000
Te2 0.832 0.166 0.663
Te3 0.168 0.834 0.337
As1 0.833 0.668 0.667
As2 0.167 0.332 0.333
P1 0.500 0.000 0.000

The uncorrected formation energy comes out at -1.529 eV/atom. The calculated total energy comes out at -5.855 eV/atom. Its space-group type is No. 12. The magnetization comes out at 0.00 μB per formula unit.

No. 3
First-principles (PBE) data for a relaxed NaBr2N crystal, as listed in the Alexandria database.

a b c (Å): 5.140 5.140 5.140
angles (deg): 60.00 60.00 60.00
Atoms (fractional coordinates):
Na1 0.500 0.500 0.500
Br1 0.250 0.250 0.250
Br2 0.750 0.750 0.750
N1 0.000 0.000 0.000

The uncorrected formation energy comes out at 0.732 eV/atom. The calculated total energy comes out at -2.516 eV/atom. Its space-group type is No. 225. The relative energy among the computed polymorphs is 141 kJ/mol of formula units. The magnetization comes out at 2.00 μB per formula unit.

No. 4
First-principles (PBE) data for a relaxed PmRuBr crystal, as listed in the Alexandria database.

a b c (Å): 4.213 4.213 11.707
angles (deg): 79.64 79.64 60.00
Atoms (fractional coordinates):
Pm1 0.559 0.559 0.322
Pm2 0.441 0.441 0.678
Br1 0.280 0.280 0.159
Br2 0.720 0.720 0.841
Ru1 0.836 0.836 0.493
Ru2 0.164 0.164 0.507

The uncorrected formation energy comes out at -0.955 eV/atom. The calculated total energy comes out at -6.188 eV/atom. Its space-group type is No. 166. The relative energy among the computed polymorphs is 1 kJ/mol of formula units. The magnetization comes out at 0.00 μB per formula unit.

No. 5
First-principles (PBE) data for a relaxed Nb2GaP crystal, as listed in the Alexandria database.

a b c (Å): 3.895 3.895 9.723
angles (deg): 78.44 78.44 90.00
Atoms (fractional coordinates):
P1 0.500 0.500 0.000
P2 0.250 0.750 0.500
Nb1 0.627 0.125 0.250
Nb2 0.123 0.625 0.250
Nb3 0.375 0.373 0.750
Nb4 0.875 0.877 0.750
Ga1 0.000 0.000 0.000
Ga2 0.750 0.250 0.500

The calculated total energy comes out at -7.096 eV/atom. Its space-group type is No. 122. The relative energy among the computed polymorphs is 216 kJ/mol of formula units. The magnetization comes out at 0.00 μB per formula unit. As for the energy of formation from the pure elements: 0.048 eV per atom.

Q: magnetization of number 3 (NaBr2N)?
A: 2.00 μB per formula unit